(1)
# SrCoAg2, PBEsol geometry, DFT meta-GGA SCAN
# Volume = 19.53 Å³/atom
# VASP energy = -25.255 eV per atom
# Magnetization = 2.13 μB/f.u.
# Distance to the lowest polymorph of the same formula = 70.2 meV/atom
# ΔH_f (0 K) = 0.32 eV per atom
data_SrCoAg2
_cell_length_a 3.317
_cell_length_b 3.317
_cell_length_c 7.100
_cell_angle_alpha 90.00
_cell_angle_beta 90.00
_cell_angle_gamma 90.00
_symmetry_space_group_name_H-M 'P 1'
_symmetry_Int_Tables_number 1
loop_
_symmetry_equiv_pos_as_xyz
'x,y,z'
loop_
_atom_site_label
_atom_site_type_symbol
_atom_site_fract_x
_atom_site_fract_y
_atom_site_fract_z
Sr1 Sr 0.000 0.000 0.000
Co1 Co 0.000 0.000 0.500
Ag1 Ag 0.500 0.500 0.311
Ag2 Ag 0.500 0.500 0.689

***

(2)
# Sr3CoAg, PBEsol geometry, DFT meta-GGA SCAN
# Volume = 32.87 Å³/atom
# VASP energy = -22.703 eV per atom
# Magnetization = 0.14 μB/f.u.
# ΔH_f (0 K) = 0.40 eV per atom
data_Sr3CoAg
_cell_length_a 5.478
_cell_length_b 5.478
_cell_length_c 5.478
_cell_angle_alpha 90.00
_cell_angle_beta 90.00
_cell_angle_gamma 90.00
_symmetry_space_group_name_H-M 'P 1'
_symmetry_Int_Tables_number 1
loop_
_symmetry_equiv_pos_as_xyz
'x,y,z'
loop_
_atom_site_label
_atom_site_type_symbol
_atom_site_fract_x
_atom_site_fract_y
_atom_site_fract_z
Sr1 Sr 0.000 0.000 0.500
Sr2 Sr 0.000 0.500 0.000
Sr3 Sr 0.500 0.000 0.000
Co1 Co 0.000 0.000 0.000
Ag1 Ag 0.500 0.500 0.500

***

(3)
# SrCoAg2, PBEsol geometry, DFT meta-GGA SCAN
# Volume = 19.12 Å³/atom
# VASP energy = -25.288 eV per atom
# Magnetization = 1.64 μB/f.u.
# Distance to the lowest polymorph of the same formula = 36.5 meV/atom
# ΔH_f (0 K) = 0.29 eV per atom
data_SrCoAg2
_cell_length_a 5.212
_cell_length_b 5.212
_cell_length_c 5.212
_cell_angle_alpha 132.09
_cell_angle_beta 132.09
_cell_angle_gamma 70.09
_symmetry_space_group_name_H-M 'P 1'
_symmetry_Int_Tables_number 1
loop_
_symmetry_equiv_pos_as_xyz
'x,y,z'
loop_
_atom_site_label
_atom_site_type_symbol
_atom_site_fract_x
_atom_site_fract_y
_atom_site_fract_z
Sr1 Sr 0.000 0.000 0.000
Co1 Co 0.250 0.750 0.500
Ag1 Ag 0.500 0.500 0.000
Ag2 Ag 0.750 0.250 0.500

***

(4)
# Ta2CoAg, PBEsol geometry, DFT meta-GGA SCAN
# Volume = 15.67 Å³/atom
# VASP energy = -45.165 eV per atom
# Magnetization = 1.99 μB/f.u.
# Distance to the lowest polymorph of the same formula = 157.3 meV/atom
# ΔH_f (0 K) = 0.29 eV per atom
data_Ta2CoAg
_cell_length_a 4.459
_cell_length_b 4.459
_cell_length_c 4.459
_cell_angle_alpha 60.00
_cell_angle_beta 60.00
_cell_angle_gamma 60.00
_symmetry_space_group_name_H-M 'P 1'
_symmetry_Int_Tables_number 1
loop_
_symmetry_equiv_pos_as_xyz
'x,y,z'
loop_
_atom_site_label
_atom_site_type_symbol
_atom_site_fract_x
_atom_site_fract_y
_atom_site_fract_z
Ta1 Ta 0.250 0.250 0.250
Ta2 Ta 0.750 0.750 0.750
Co1 Co 0.000 0.000 0.000
Ag1 Ag 0.500 0.500 0.500